(1)
This record from the Open Quantum Materials Database describes Fe2NiSe4 after structural relaxation. The functional is GGA-PBE.

Cell: 7.036 7.036 9.897 Å, 90.00 90.00 90.00°
Atoms (fractional coordinates):
Fe1 0.000 0.232 0.000
Fe2 0.000 0.768 0.500
Fe3 0.232 0.000 0.750
Fe4 0.265 0.265 0.375
Fe5 0.265 0.735 0.125
Fe6 0.735 0.265 0.625
Fe7 0.735 0.735 0.875
Fe8 0.768 0.000 0.250
Ni1 0.237 0.500 0.750
Ni2 0.500 0.237 0.000
Ni3 0.500 0.763 0.500
Ni4 0.763 0.500 0.250
Se1 0.002 0.246 0.758
Se2 0.002 0.754 0.742
Se3 0.245 0.470 0.992
Se4 0.245 0.530 0.508
Se5 0.246 0.002 0.992
Se6 0.246 0.998 0.508
Se7 0.470 0.245 0.758
Se8 0.470 0.755 0.742
Se9 0.530 0.245 0.242
Se10 0.530 0.755 0.258
Se11 0.754 0.002 0.008
Se12 0.754 0.998 0.492
Se13 0.755 0.470 0.008
Se14 0.755 0.530 0.492
Se15 0.998 0.246 0.242
Se16 0.998 0.754 0.258

E_tot in eV/atom: -5.370
Space group: P4_122 (91)
Magnetic moment in μB/f.u.: 2.4

=====

(2)
This record from the Open Quantum Materials Database describes AlFeRe6 after structural relaxation. The functional is GGA-PBE.

Cell: 5.860 5.860 5.860 Å, 60.00 60.00 60.00°
Atoms (fractional coordinates):
Al1 0.000 0.000 0.000
Fe1 0.250 0.250 0.250
Re1 0.534 0.534 0.966
Re2 0.534 0.966 0.534
Re3 0.534 0.966 0.966
Re4 0.966 0.534 0.534
Re5 0.966 0.534 0.966
Re6 0.966 0.966 0.534

E_tot in eV/atom: -9.890
Space group: F-43m (216)
Magnetic moment in μB/f.u.: 0.0